Density functional theory data (PBE) for crystalline Zr4CdPN2 at its relaxed geometry.

```
8
Lattice="-1.684 0.460 -2.871 3.245 -0.869 -0.076 -3.481 -13.001 -0.042" Properties=species:S:1:pos:R:3 pbc="T T T"
Cd 0.000 0.000 0.000
N 0.665 -3.928 -1.019
N -0.941 -9.925 -1.038
P -1.781 -6.484 -1.960
Zr -0.677 -2.358 -1.947
Zr -1.274 -4.760 -0.015
Zr -2.207 -8.242 -0.026
Zr -2.886 -10.609 -1.974
```

Values from the calculation:
- Magnetic moment: 0.0010 μB/atom
- E: -8.350 eV/atom